(1)
4
Lattice="3.070 0.000 0.000 0.000 3.070 0.000 0.000 0.000 7.762" Properties=species:S:1:pos:R:3 comment="Al2ReBr (PBE, relaxed)" e_form_raw_mev_per_atom=474 de_polymorph_ev_per_atom=0.569 pbc="T T T"
Al 1.535 1.535 1.524
Re 1.535 1.535 6.054
Al 0.000 0.000 7.534
Br 0.000 0.000 4.291



(2)
4
Lattice="5.260 -0.012 0.027 4.434 2.829 0.027 -0.428 -0.124 4.589" Properties=species:S:1:pos:R:3 comment="Al2ReBr (PBE, relaxed)" e_form_raw_mev_per_atom=318 de_polymorph_ev_per_atom=0.413 pbc="T T T"
Al 6.745 1.960 3.044
Br 4.327 1.257 2.757
Al 0.175 0.051 0.441
Re 2.653 0.771 0.721



(3)
4
Lattice="-2.891 -0.268 0.865 -0.565 -1.729 -2.423 1.809 -6.317 4.086" Properties=species:S:1:pos:R:3 comment="AlRe2Br (PBE, relaxed)" e_form_raw_mev_per_atom=264 de_polymorph_ev_per_atom=0.133 pbc="T T T"
Al 0.792 -2.767 1.790
Br -0.307 -5.962 2.432
Re 0.071 -0.248 0.160
Re -1.299 -2.495 0.189



(4)
3
Lattice="-1.321 -3.769 -1.757 -1.913 -3.021 2.500 -4.261 -0.823 -0.448" Properties=species:S:1:pos:R:3 comment="AlReBr (PBE, relaxed)" e_form_raw_mev_per_atom=1113 de_polymorph_ev_per_atom=0.618 pbc="T T T"
Al 0.000 0.000 0.000
Re -5.622 -5.709 0.222
Br -3.748 -3.806 0.148



(5)
4
Lattice="-4.595 -1.918 1.713 -3.674 -3.756 -0.336 0.308 -3.780 3.529" Properties=species:S:1:pos:R:3 comment="AlRe2Br (PBE, relaxed)" e_form_raw_mev_per_atom=710 de_polymorph_ev_per_atom=0.579 pbc="T T T"
Al -3.765 -4.814 2.628
Re -5.787 -6.603 3.325
Re -0.120 -0.345 0.255
Br -2.270 -2.419 1.150



(6)
6
Lattice="0.000 3.705 3.705 3.705 0.000 3.705 3.705 3.705 0.000" Properties=species:S:1:pos:R:3 comment="Al4ReBr (PBE, relaxed)" e_form_raw_mev_per_atom=537 pbc="T T T"
Al 2.774 2.774 2.774
Al 4.637 2.774 4.637
Al 4.637 4.637 2.774
Al 2.774 4.637 4.637
Re 0.000 0.000 0.000
Br 5.558 5.558 5.558



Please write out number 5 again, unchanged.
4
Lattice="-4.595 -1.918 1.713 -3.674 -3.756 -0.336 0.308 -3.780 3.529" Properties=species:S:1:pos:R:3 comment="AlRe2Br (PBE, relaxed)" e_form_raw_mev_per_atom=710 de_polymorph_ev_per_atom=0.579 pbc="T T T"
Al -3.765 -4.814 2.628
Re -5.787 -6.603 3.325
Re -0.120 -0.345 0.255
Br -2.270 -2.419 1.150